Material: Fe2ReF
Method: DFT, PBE with a Hubbard U
State: relaxed

Cell lengths 6.0955, 6.0955, 5.4000 Å; angles 55.64, 55.64, 90.00 degrees
With the nearest neighbours (Å) after each atom.
Fractional positions:
Fe 0.5635 0.1250 0.2500  2 F 2.07
Fe 0.1865 0.6250 0.2500  2 F 2.07
Fe 0.3750 0.4365 0.7500  2 F 2.07
Re 0.7500 0.2500 0.5000  4 Fe 2.57
Fe 0.8750 0.8135 0.7500  2 F 2.07
Re 0.0000 0.0000 0.0000  4 Fe 2.57
F 0.5000 0.5000 0.0000  4 Fe 2.07
F 0.2500 0.7500 0.5000  4 Fe 2.07

symmetry	I-42d, No. 122
calculated total energy	-47.5	eV/cell
V	120.9	Å³/cell